TbCe2PN5: optimized geometry, GGA-PBE.

Values from the calculation:
total magnetic moment = 0.0 μB per formula unit
total DFT energy (no corrections) = -144.518 eV/cell

a = 6.503 Å, b = 6.503 Å, c = 5.612 Å
α = 90.00°, β = 90.00°, γ = 90.00°
Space group P4/mbm (No. 127)
One atom of each set of equivalent atoms:
Tb1 0.000 0.000 0.000
Ce1 0.178 0.322 0.500
P1 0.000 0.500 0.000
N1 0.000 0.000 0.500
N2 0.135 0.635 0.216